First-principles (PBE-GGA) data for a geometry-optimized RbLiCuSi2 structure, as listed in Alexandria.

Lattice parameters (Å, degrees): 4.6581 5.3618 4.6581 90.00 90.00 90.00
Closest atoms and distances in Å follow each position.
Positions (direct):
Cu1 0.5000 0.5000 0.5000  4 Rb 3.29, 8 Si 3.55
Si1 0.5000 0.0000 0.0000  2 Li 2.33
Li1 0.0000 0.0000 0.0000  4 Si 2.33
Rb1 0.0000 0.5000 0.0000  2 Li 2.68
Si2 0.0000 0.0000 0.5000  2 Li 2.33

Output
ΔE_f (raw) ... 0.924 eV/atom